Entry 1:
Entry from Alexandria via LeMat-Bulk: a relaxed structure of Cd2GeF6 (PBE).

abc: 4.179 4.179 8.920
angles: 103.55 103.55 90.00
Fractional coordinates of all 9 atoms:
Cd  0.181  0.181  0.362
Cd  0.819  0.819  0.638
Ge  0.500  0.500  0.000
F  0.834  0.343  0.176
F  0.657  0.657  0.824
F  0.343  0.834  0.176
F  0.166  0.166  0.824
F  0.750  0.250  0.500
F  0.250  0.750  0.500

Properties
magnetic moment: 0.000 μB per atom
symmetry: No. 121
formation energy from raw total energies: -2.027 eV per atom
energy above the most stable polymorph in this dataset: 110 meV/atom
total DFT energy (no corrections): -35.92 eV per cell

Entry 2:
Entry from Alexandria via LeMat-Bulk: a relaxed structure of CdGeF4 (PBE).

abc: 5.607 8.275 8.768
angles: 90.00 90.00 88.91
Fractional coordinates of all 24 atoms:
Cd  0.263  0.107  0.937
Cd  0.237  0.393  0.437
Cd  0.763  0.607  0.563
Cd  0.737  0.893  0.063
Ge  0.770  0.067  0.630
Ge  0.730  0.433  0.130
Ge  0.270  0.567  0.870
Ge  0.230  0.933  0.370
F  0.384  0.144  0.393
F  0.909  0.013  0.837
F  0.585  0.144  0.078
F  0.492  0.154  0.720
F  0.008  0.346  0.220
F  0.915  0.356  0.578
F  0.591  0.487  0.337
F  0.884  0.644  0.107
F  0.116  0.356  0.893
F  0.409  0.513  0.663
F  0.085  0.644  0.422
F  0.992  0.654  0.780
F  0.508  0.846  0.280
F  0.415  0.856  0.922
F  0.091  0.987  0.163
F  0.616  0.856  0.607

Properties
magnetic moment: 0.000 μB per atom
symmetry: No. 14
formation energy from raw total energies: -2.110 eV per atom
energy above the most stable polymorph in this dataset: 0 meV/atom
total DFT energy (no corrections): -102.71 eV per cell

Entry 3:
Entry from Alexandria via LeMat-Bulk: a relaxed structure of Cd2GeF (PBE).

abc: 5.647 5.647 7.428
angles: 67.66 67.66 90.00
Fractional coordinates of all 8 atoms:
Ge  0.000  0.000  0.000
Ge  0.750  0.250  0.500
F  0.500  0.500  0.000
F  0.250  0.750  0.500
Cd  0.586  0.125  0.250
Cd  0.164  0.625  0.250
Cd  0.375  0.414  0.750
Cd  0.875  0.836  0.750

Properties
magnetic moment: 0.000 μB per atom
symmetry: No. 122
formation energy from raw total energies: -0.515 eV per atom
energy above the most stable polymorph in this dataset: 0 meV/atom
total DFT energy (no corrections): -20.76 eV per cell

Entry 4:
Entry from Alexandria via LeMat-Bulk: a relaxed structure of CdGeF3 (PBE).

abc: 5.182 6.994 10.177
angles: 90.00 79.08 90.00
Fractional coordinates of all 20 atoms:
Cd  0.911  0.616  0.261
Cd  0.589  0.116  0.239
Cd  0.089  0.384  0.739
Cd  0.411  0.884  0.761
Ge  0.356  0.602  0.091
Ge  0.144  0.102  0.409
Ge  0.644  0.398  0.909
Ge  0.856  0.898  0.591
F  0.088  0.710  0.625
F  0.412  0.210  0.875
F  0.912  0.290  0.375
F  0.588  0.790  0.125
F  0.041  0.038  0.738
F  0.459  0.538  0.762
F  0.959  0.962  0.262
F  0.541  0.462  0.238
F  0.741  0.718  0.466
F  0.759  0.218  0.034
F  0.259  0.282  0.534
F  0.241  0.782  0.966

Properties
magnetic moment: 0.000 μB per atom
symmetry: No. 14
formation energy from raw total energies: -1.861 eV per atom
energy above the most stable polymorph in this dataset: 0 meV/atom
total DFT energy (no corrections): -81.82 eV per cell

Entry 5:
Entry from Alexandria via LeMat-Bulk: a relaxed structure of CdGe2F (PBE).

abc: 4.644 4.644 4.644
angles: 60.00 60.00 60.00
Fractional coordinates of all 4 atoms:
Ge  0.250  0.250  0.250
Ge  0.750  0.750  0.750
F  0.000  0.000  0.000
Cd  0.500  0.500  0.500

Properties
magnetic moment: 0.000 μB per atom
symmetry: No. 225
formation energy from raw total energies: -0.251 eV per atom
energy above the most stable polymorph in this dataset: 93 meV/atom
total DFT energy (no corrections): -13.02 eV per cell

Entry 6:
Entry from Alexandria via LeMat-Bulk: a relaxed structure of HfCd2GeF (PBE).

abc: 4.886 4.313 4.886
angles: 90.00 90.00 90.00
Fractional coordinates of all 5 atoms:
Ge  0.500  0.500  0.500
F  0.000  0.000  0.000
Hf  0.000  0.500  0.000
Cd  0.000  0.000  0.500
Cd  0.500  0.000  0.000

Properties
magnetic moment: 0.000 μB per atom
symmetry: No. 123
formation energy from raw total energies: -0.242 eV per atom
total DFT energy (no corrections): -19.48 eV per cell

Entry 7:
Entry from Alexandria via LeMat-Bulk: a relaxed structure of CdHg2GeF6 (PBE).

abc: 5.257 5.960 8.477
angles: 69.33 51.91 90.03
Fractional coordinates of all 10 atoms:
Cd  0.000  0.000  0.000
Hg  0.616  0.219  0.562
Hg  0.384  0.781  0.438
Ge  0.500  0.500  0.000
F  0.410  0.371  0.262
F  0.826  0.781  0.884
F  0.167  0.659  0.116
F  0.833  0.341  0.884
F  0.174  0.219  0.116
F  0.590  0.629  0.738

Properties
magnetic moment: 0.000 μB per atom
symmetry: No. 2
formation energy from raw total energies: -1.852 eV per atom
total DFT energy (no corrections): -35.89 eV per cell

Entry 8:
Entry from Alexandria via LeMat-Bulk: a relaxed structure of CdGe2IF (PBE).

abc: 5.602 6.043 5.602
angles: 90.00 90.00 90.00
Last column: magnetic moment on the atom in μB.
Fractional coordinates of all 5 atoms:
I  0.000  0.000  0.000  0.00
Ge  0.000  0.000  0.500  0.11
Ge  0.500  0.000  0.000  0.24
F  0.500  0.500  0.500  0.07
Cd  0.000  0.500  0.000  0.00

Properties
magnetic moment: 0.201 μB per atom
symmetry: No. 123
formation energy from raw total energies: 0.744 eV per atom
total DFT energy (no corrections): -9.85 eV per cell